No. 1
# Pr2Sm4Er | Alexandria | PBE | relaxed
# Total energy (eV/f.u.): -32.89
# Crystal system: trigonal
# Theoretical density (g cm⁻³): 7.35
# N(E_F) (states/eV/atom): 1.259
data_Pr2Sm4Er
_chemical_formula_sum 'Pr6 Sm12 Er3'
_cell_length_a 3.6345
_cell_length_b 3.6345
_cell_length_c 62.2367
_cell_angle_alpha 90.00
_cell_angle_beta 90.00
_cell_angle_gamma 120.00
_symmetry_space_group_name_H-M 'R -3 m'
_symmetry_Int_Tables_number 166
_symmetry_space_group_name_Hall '-R 3 2"'
loop_
_atom_site_label
_atom_site_type_symbol
_atom_site_fract_x
_atom_site_fract_y
_atom_site_fract_z
Pr1 Pr 0.0000 0.0000 0.0720
Sm1 Sm 0.0000 0.0000 0.2128
Sm2 Sm 0.0000 0.0000 0.3569
Er1 Er 0.0000 0.0000 0.5000

***

No. 2
# CdTe5Pb4 | Alexandria | PBE | relaxed
# Crystal system: tetragonal
# Theoretical density (g cm⁻³): 7.71
# N(E_F) (states/eV/atom): 0.036
# Formation energy (no corrections) (eV per atom): -0.368
data_CdTe5Pb4
_chemical_formula_sum 'Cd2 Te10 Pb8'
_cell_length_a 4.597
_cell_length_b 4.597
_cell_length_c 32.190
_cell_angle_alpha 90.00
_cell_angle_beta 90.00
_cell_angle_gamma 90.00
_symmetry_space_group_name_H-M 'I 4/m m m'
_symmetry_Int_Tables_number 139
_symmetry_space_group_name_Hall '-I 4 2'
loop_
_atom_site_label
_atom_site_type_symbol
_atom_site_fract_x
_atom_site_fract_y
_atom_site_fract_z
Cd1 Cd 0.000 0.000 0.000
Te1 Te 0.000 0.000 0.094
Te2 Te 0.000 0.000 0.300
Te3 Te 0.000 0.000 0.500
Pb1 Pb 0.000 0.000 0.199
Pb2 Pb 0.000 0.000 0.402